Ba3ZrIr2O9: optimized geometry, GGA-PBE.

The structure in POSCAR format:
```
Ba3ZrIr2O9
1.0
5.876 0.000 0.000
-2.938 5.089 0.000
0.000 0.000 14.695
Ba Zr Ir O
6 2 4 18
Direct
0.333 0.667 0.092
0.667 0.333 0.908
0.667 0.333 0.592
0.333 0.667 0.408
0.000 0.000 0.250
0.000 0.000 0.750
0.000 0.000 0.000
0.000 0.000 0.500
0.333 0.667 0.660
0.667 0.333 0.340
0.667 0.333 0.160
0.333 0.667 0.840
0.170 0.339 0.582
0.830 0.661 0.418
0.661 0.830 0.582
0.830 0.661 0.082
0.339 0.170 0.418
0.170 0.339 0.918
0.170 0.830 0.582
0.339 0.170 0.082
0.830 0.170 0.418
0.661 0.830 0.918
0.830 0.170 0.082
0.170 0.830 0.918
0.513 0.025 0.250
0.487 0.975 0.750
0.975 0.487 0.250
0.025 0.513 0.750
0.513 0.487 0.250
0.487 0.513 0.750
```

## Properties
raw formation energy	-2.152	eV per atom
N(E_F)	16.23	states/eV/cell
final energy	-7.263	eV/atom

KVSb2I: optimized geometry, GGA-PBE.

The structure in POSCAR format:
```
KVSb2I
1.0
-5.487 -1.860 -1.380
-1.192 -0.775 5.783
-2.023 5.711 0.348
I Sb K V
1 2 1 1
Direct
0.000 0.000 0.500
0.000 0.500 0.000
0.500 0.000 0.000
0.000 0.000 0.000
0.500 0.500 0.500
```

## Properties
raw formation energy	1.378	eV per atom
N(E_F)	11.70	states/eV/cell
distance to the lowest polymorph of the same formula	7.82	eV/f.u.
final energy	-2.625	eV/atom

AcPm3Se4: optimized geometry, GGA-PBE.

The structure in POSCAR format:
```
AcPm3Se4
1.0
-3.448 2.013 -1.384
0.481 -0.775 4.126
13.316 24.973 3.138
Ac Se Pm
2 8 6
Direct
0.667 0.333 0.750
0.333 0.667 0.250
0.667 0.333 0.940
0.333 0.667 0.060
0.333 0.667 0.440
0.667 0.333 0.560
0.000 0.000 0.821
0.000 0.000 0.179
0.000 0.000 0.321
0.000 0.000 0.679
0.000 0.000 0.000
0.000 0.000 0.500
0.333 0.667 0.881
0.667 0.333 0.119
0.667 0.333 0.381
0.333 0.667 0.619
```

## Properties
raw formation energy	-1.827	eV per atom
N(E_F)	11.02	states/eV/cell
distance to the lowest polymorph of the same formula	0.00	eV/f.u.
final energy	-5.864	eV/atom

LiEr2Hg4: optimized geometry, GGA-PBE.

The structure in POSCAR format:
```
LiEr2Hg4
1.0
4.662 0.000 1.456
2.103 4.160 1.456
-0.214 -0.132 8.875
Li Er Hg
1 2 4
Direct
0.000 0.000 0.000
0.750 0.750 0.749
0.250 0.250 0.251
0.872 0.872 0.385
0.128 0.128 0.615
0.629 0.629 0.112
0.371 0.371 0.888
```

## Properties
N(E_F)	4.04	states/eV/cell
distance to the lowest polymorph of the same formula	0.00	eV/f.u.
E_form	-0.2994	eV/atom
final energy	-2.049	eV/atom

TbCePr2S4: optimized geometry, GGA-PBE.

The structure in POSCAR format:
```
TbCePr2S4
1.0
4.023 0.000 0.000
0.000 7.007 0.133
0.000 -2.436 6.574
Tb Ce Pr S
1 1 2 4
Direct
0.000 0.000 0.000
0.500 0.500 0.000
0.500 0.000 0.500
0.000 0.500 0.500
0.500 0.241 0.237
0.500 0.759 0.763
0.000 0.249 0.760
0.000 0.751 0.240
```

## Properties
raw formation energy	-2.028	eV per atom
N(E_F)	7.49	states/eV/cell
final energy	-6.607	eV/atom

Mg3Ru2: optimized geometry, GGA-PBE.

The structure in POSCAR format:
```
Mg3Ru2
1.0
6.959 0.000 0.000
0.000 6.959 0.000
0.000 0.000 6.959
Mg Ru
12 8
Direct
0.875 0.794 0.456
0.625 0.206 0.956
0.125 0.294 0.044
0.375 0.706 0.544
0.544 0.875 0.206
0.044 0.625 0.794
0.956 0.125 0.706
0.456 0.375 0.294
0.794 0.544 0.125
0.206 0.044 0.375
0.294 0.956 0.875
0.706 0.456 0.625
0.925 0.925 0.075
0.575 0.075 0.575
0.075 0.425 0.425
0.425 0.575 0.925
0.175 0.675 0.175
0.325 0.325 0.675
0.675 0.825 0.825
0.825 0.175 0.325
```

## Properties
N(E_F)	9.45	states/eV/cell
distance to the lowest polymorph of the same formula	0.00	eV/f.u.
E_form	-0.1464	eV/atom
final energy	-4.813	eV/atom

Ce3PrY4P8: optimized geometry, GGA-PBE.

The structure in POSCAR format:
```
Ce3PrY4P8
1.0
-5.513 -4.635 3.787
5.779 -5.422 1.776
0.925 7.795 2.144
Ce Pr Y P
3 1 4 8
Direct
0.500 0.500 0.000
0.500 0.500 0.500
0.000 0.500 0.500
0.000 0.500 0.000
0.500 0.000 0.000
0.500 0.000 0.500
0.000 0.000 0.000
0.000 0.000 0.500
0.254 0.755 0.001
0.254 0.755 0.508
0.249 0.247 0.498
0.747 0.755 0.001
0.253 0.245 0.999
0.751 0.753 0.502
0.746 0.245 0.492
0.746 0.245 0.999
```

## Properties
N(E_F)	15.68	states/eV/cell
E_form	-1.5673	eV/atom
final energy	-7.300	eV/atom

MnZn2Os: optimized geometry, GGA-PBE.

The structure in POSCAR format:
```
MnZn2Os
1.0
4.654 0.011 -0.021
3.879 2.572 -0.021
0.745 0.226 4.638
Mn Os Zn
1 1 2
Direct
0.250 0.250 0.250
0.750 0.750 0.750
0.001 0.001 0.000
0.499 0.499 0.500
```

## Properties
N(E_F)	1.88	states/eV/cell
distance to the lowest polymorph of the same formula	0.34	eV/f.u.
E_form	0.1187	eV/atom
final energy	-5.618	eV/atom